No. 1
DFT (PBE-GGA) results for SmPu2F11 after structural relaxation.

Properties
- ρ (Mg/m³) = 5.782
- SG = Ibam (72)
- E_form (uncorrected) (eV per atom) = -3.63

abc: 8.696 8.696 8.696
angles: 121.84 107.27 100.12
Positions (direct):
Sm 0.250 0.250 0.000
Sm 0.750 0.750 0.000
Pu 0.180 0.653 0.833
Pu 0.320 0.153 0.473
Pu 0.680 0.847 0.527
Pu 0.820 0.347 0.167
F 0.000 0.500 0.500
F 0.041 0.947 0.268
F 0.067 0.356 0.152
F 0.179 0.447 0.907
F 0.204 0.915 0.848
F 0.213 0.368 0.581
F 0.287 0.868 0.154
F 0.296 0.144 0.712
F 0.321 0.228 0.268
F 0.433 0.585 0.288
F 0.459 0.728 0.907
F 0.500 0.000 0.500
F 0.541 0.272 0.093
F 0.567 0.415 0.712
F 0.679 0.772 0.732
F 0.704 0.856 0.288
F 0.713 0.132 0.846
F 0.787 0.632 0.419
F 0.796 0.085 0.152
F 0.821 0.553 0.093
F 0.933 0.644 0.848
F 0.959 0.053 0.732

***

No. 2
DFT (PBE-GGA) results for Pu2SnF after structural relaxation.

Properties
- ρ (Mg/m³) = 12.874
- SG = R-3m (166)
- E_form (uncorrected) (eV per atom) = -0.32

abc: 4.221 4.221 15.690
angles: 90.00 90.00 120.00
Positions (direct):
Pu 0.000 0.000 0.192
Pu 0.000 0.000 0.808
Pu 0.333 0.667 0.475
Pu 0.333 0.667 0.859
Pu 0.667 0.333 0.141
Pu 0.667 0.333 0.525
Sn 0.000 0.000 0.000
Sn 0.333 0.667 0.667
Sn 0.667 0.333 0.333
F 0.000 0.000 0.500
F 0.333 0.667 0.167
F 0.667 0.333 0.833

***

No. 3
DFT (PBE-GGA) results for Pu2SnF8 after structural relaxation.

Properties
- ρ (Mg/m³) = 7.813
- SG = C2/m (12)
- E_form (uncorrected) (eV per atom) = -3.21

abc: 7.846 7.846 5.795
angles: 109.61 109.61 28.80
Positions (direct):
Pu 0.177 0.177 0.184
Pu 0.823 0.823 0.816
Sn 0.500 0.500 0.500
F 0.042 0.042 0.300
F 0.216 0.216 0.825
F 0.319 0.319 0.541
F 0.400 0.400 0.048
F 0.600 0.600 0.952
F 0.681 0.681 0.459
F 0.784 0.784 0.175
F 0.958 0.958 0.700

***

No. 4
DFT (PBE-GGA) results for Pu2SnF after structural relaxation.

Properties
- ρ (Mg/m³) = 11.839
- SG = P4/mmm (123)
- E_form (uncorrected) (eV per atom) = -1.02

abc: 3.249 3.249 8.313
angles: 90.00 90.00 90.00
Positions (direct):
Pu 0.000 0.000 0.220
Pu 0.000 0.000 0.780
Sn 0.500 0.500 0.500
F 0.500 0.500 0.000

***

no.,VASP energy (eV per cell)
1,-209.5
2,-107.4
3,-82.9
4,-38.6